Model i:
A geometry-optimized TbErPtRh structure. Source: Alexandria via LeMat-Bulk, functional PBE.

abc: 4.8825 4.8825 4.8825
angles: 60.00 60.00 60.00
Atoms (fractional coordinates):
Tb 0.0000 0.0000 0.0000
Er 0.5000 0.5000 0.5000
Pt 0.2500 0.2500 0.2500
Rh 0.7500 0.7500 0.7500

Values from the calculation:
magnetization = 0.000 μB/cell



Model ii:
A geometry-optimized TbErPtRh structure. Source: Alexandria via LeMat-Bulk, functional PBE.

abc: 4.3340 5.6123 5.6123
angles: 39.26 90.00 90.00
Atoms (fractional coordinates):
Tb 0.0000 0.0000 0.0000
Er 0.5000 0.2818 0.2818
Pt 0.5000 0.5580 0.5580
Rh 0.0000 0.7336 0.7336

Values from the calculation:
magnetization = 0.000 μB/cell



model ii is favored, and the nearest alternative lies 12 meV per atom above it.



Model i:
A geometry-optimized Er7Sb2Pt2 structure. Source: Alexandria via LeMat-Bulk, functional PBE.

abc: 6.8731 6.8731 6.9193
angles: 90.00 90.00 101.40
Atoms (fractional coordinates):
Er 0.0000 0.0000 0.0000
Er 0.0000 0.5000 0.2485
Er 0.0000 0.5000 0.7515
Er 0.5000 0.0000 0.2485
Er 0.5000 0.0000 0.7515
Er 0.5000 0.5000 0.2385
Er 0.5000 0.5000 0.7615
Sb 0.2019 0.2019 0.5000
Sb 0.7981 0.7981 0.5000
Pt 0.2792 0.7208 0.0000
Pt 0.7208 0.2792 0.0000

Values from the calculation:
magnetization = 0.000 μB/cell



Model ii:
A geometry-optimized Er7Sb2Pt2 structure. Source: Alexandria via LeMat-Bulk, functional PBE.

abc: 9.3124 9.3124 9.3124
angles: 155.38 67.43 118.34
Atoms (fractional coordinates):
Er 0.0000 0.0000 0.0000
Er 0.2947 0.4176 0.8771
Er 0.3141 0.6279 0.6863
Er 0.5405 0.4176 0.1229
Er 0.6276 0.2698 0.3578
Er 0.9120 0.2698 0.6422
Er 0.9416 0.6279 0.3137
Sb 0.2555 0.7555 0.5000
Sb 0.6704 0.6704 0.0000
Pt 0.1692 0.9304 0.2388
Pt 0.6916 0.9304 0.7612

Values from the calculation:
magnetization = 0.152 μB/cell



model ii is favored, and the nearest alternative lies 185 meV per atom above it.



Model i:
A geometry-optimized ErScPt4 structure. Source: Alexandria via LeMat-Bulk, functional PBE.

abc: 5.5795 4.8810 4.8810
angles: 111.19 90.00 90.00
Atoms (fractional coordinates):
Er 0.0000 0.0000 0.0000
Sc 0.5000 0.5013 0.5013
Pt 0.2543 0.0008 0.5006
Pt 0.2543 0.5006 0.0008
Pt 0.7457 0.0008 0.5006
Pt 0.7457 0.5006 0.0008

Values from the calculation:
magnetization = 0.000 μB/cell



Model ii:
A geometry-optimized ErScPt4 structure. Source: Alexandria via LeMat-Bulk, functional PBE.

abc: 5.3689 5.3689 5.3689
angles: 60.00 60.00 60.00
Atoms (fractional coordinates):
Er 0.0000 0.0000 0.0000
Sc 0.7500 0.7500 0.7500
Pt 0.3751 0.3751 0.3751
Pt 0.3751 0.3751 0.8746
Pt 0.3751 0.8746 0.3751
Pt 0.8746 0.3751 0.3751

Values from the calculation:
magnetization = 0.000 μB/cell



model ii is favored, and the nearest alternative lies 167 meV per atom above it.



Model i:
A geometry-optimized Er2ScPt3 structure. Source: Alexandria via LeMat-Bulk, functional PBE.

abc: 6.8404 6.8404 6.8404
angles: 145.94 131.39 60.69
Atoms (fractional coordinates):
Er 0.1716 0.1716 0.0000
Er 0.8284 0.8284 0.0000
Sc 0.5000 0.5000 0.0000
Pt 0.0000 0.5000 0.5000
Pt 0.3458 0.8458 0.5000
Pt 0.6542 0.1542 0.5000

Values from the calculation:
magnetization = 0.000 μB/cell



Model ii:
A geometry-optimized Er2ScPt3 structure. Source: Alexandria via LeMat-Bulk, functional PBE.

abc: 4.8379 14.7119 3.3433
angles: 90.00 90.00 90.00
Atoms (fractional coordinates):
Er 0.2500 0.0836 0.0058
Er 0.2500 0.4164 0.0058
Er 0.7500 0.5836 0.9942
Er 0.7500 0.9164 0.9942
Sc 0.2500 0.7500 0.9944
Sc 0.7500 0.2500 0.0056
Pt 0.2500 0.2500 0.5033
Pt 0.2500 0.5966 0.4922
Pt 0.2500 0.9034 0.4922
Pt 0.7500 0.0966 0.5078
Pt 0.7500 0.4034 0.5078
Pt 0.7500 0.7500 0.4967

Values from the calculation:
magnetization = 0.000 μB/cell



model ii is favored, and the nearest alternative lies 165 meV per atom above it.



Model i:
A geometry-optimized Er2PtSe structure. Source: Alexandria via LeMat-Bulk, functional PBE.

abc: 7.4049 7.4049 7.4049
angles: 31.16 31.16 31.16
Atoms (fractional coordinates):
Er 0.2434 0.2434 0.2434
Er 0.7566 0.7566 0.7566
Pt 0.5000 0.5000 0.5000
Se 0.0000 0.0000 0.0000

Values from the calculation:
magnetization = 0.000 μB/cell



Model ii:
A geometry-optimized Er2PtSe structure. Source: Alexandria via LeMat-Bulk, functional PBE.

abc: 7.4168 7.4168 7.4168
angles: 31.39 31.39 31.39
Atoms (fractional coordinates):
Er 0.0000 0.0000 0.0000
Er 0.1853 0.1853 0.1853
Pt 0.5928 0.5928 0.5928
Se 0.7605 0.7605 0.7605

Values from the calculation:
magnetization = 0.000 μB/cell



model i is favored, and the nearest alternative lies 30 meV per atom above it.



Model i:
A geometry-optimized ErSiPt6 structure. Source: Alexandria via LeMat-Bulk, functional PBE.

abc: 6.9820 6.9820 6.9820
angles: 45.66 45.66 45.66
Atoms (fractional coordinates):
Er 0.0000 0.0000 0.0000
Si 0.5000 0.5000 0.5000
Pt 0.0668 0.5786 0.5786
Pt 0.4214 0.4214 0.9332
Pt 0.4214 0.9332 0.4214
Pt 0.5786 0.0668 0.5786
Pt 0.5786 0.5786 0.0668
Pt 0.9332 0.4214 0.4214

Values from the calculation:
magnetization = 0.000 μB/cell



Model ii:
A geometry-optimized ErSiPt6 structure. Source: Alexandria via LeMat-Bulk, functional PBE.

abc: 4.0228 4.0228 7.9538
angles: 90.00 90.00 90.00
Atoms (fractional coordinates):
Er 0.0000 0.0000 0.0000
Si 0.0000 0.0000 0.5000
Pt 0.0000 0.5000 0.2660
Pt 0.0000 0.5000 0.7340
Pt 0.5000 0.0000 0.2660
Pt 0.5000 0.0000 0.7340
Pt 0.5000 0.5000 0.0000
Pt 0.5000 0.5000 0.5000

Values from the calculation:
magnetization = 0.000 μB/cell



model ii is favored, and the nearest alternative lies 147 meV per atom above it.



Model i:
A geometry-optimized ErSiPt3 structure. Source: Alexandria via LeMat-Bulk, functional PBE.

abc: 5.6697 6.7219 4.9860
angles: 90.00 90.00 90.00
Atoms (fractional coordinates):
Er 0.0000 0.0000 0.0000
Er 0.5000 0.5000 0.0000
Si 0.0000 0.5000 0.5000
Si 0.5000 0.0000 0.5000
Pt 0.0000 0.5000 0.0000
Pt 0.1385 0.1729 0.5000
Pt 0.3615 0.6729 0.5000
Pt 0.5000 0.0000 0.0000
Pt 0.6385 0.3271 0.5000
Pt 0.8615 0.8271 0.5000

Values from the calculation:
magnetization = 0.000 μB/cell



Model ii:
A geometry-optimized ErSiPt3 structure. Source: Alexandria via LeMat-Bulk, functional PBE.

abc: 5.6567 4.5405 7.1135
angles: 90.00 90.00 90.00
Atoms (fractional coordinates):
Er 0.0000 0.0332 0.0000
Er 0.5000 0.9668 0.5000
Si 0.0000 0.6451 0.5248
Si 0.5000 0.3549 0.0248
Pt 0.0000 0.1232 0.4133
Pt 0.2430 0.6019 0.2288
Pt 0.2570 0.3981 0.7288
Pt 0.5000 0.8768 0.9133
Pt 0.7430 0.3981 0.7288
Pt 0.7570 0.6019 0.2288

Values from the calculation:
magnetization = 0.000 μB/cell



model ii is favored, and the nearest alternative lies 234 meV per atom above it.



Model i:
A geometry-optimized ErTmSiPt structure. Source: Alexandria via LeMat-Bulk, functional PBE.

abc: 4.9219 4.9219 4.9219
angles: 60.00 60.00 60.00
Atoms (fractional coordinates):
Er 0.0000 0.0000 0.0000
Tm 0.5000 0.5000 0.5000
Si 0.7500 0.7500 0.7500
Pt 0.2500 0.2500 0.2500

Values from the calculation:
magnetization = 0.000 μB/cell



Model ii:
A geometry-optimized ErTmSiPt structure. Source: Alexandria via LeMat-Bulk, functional PBE.

abc: 4.1549 5.6476 5.6476
angles: 40.69 90.00 90.00
Atoms (fractional coordinates):
Er 0.0000 0.0000 0.0000
Tm 0.5000 0.2832 0.2832
Si 0.0000 0.7186 0.7186
Pt 0.5000 0.5637 0.5637

Values from the calculation:
magnetization = 0.000 μB/cell



model ii is favored, and the nearest alternative lies 178 meV per atom above it.



Model i:
A geometry-optimized SmErPt2 structure. Source: Alexandria via LeMat-Bulk, functional PBE.

abc: 4.9778 4.9778 4.9778
angles: 60.00 60.00 60.00
Atoms (fractional coordinates):
Sm 0.0000 0.0000 0.0000
Er 0.5000 0.5000 0.5000
Pt 0.2500 0.2500 0.2500
Pt 0.7500 0.7500 0.7500

Values from the calculation:
magnetization = 0.000 μB/cell



Model ii:
A geometry-optimized SmErPt2 structure. Source: Alexandria via LeMat-Bulk, functional PBE.

abc: 3.5097 3.5097 7.0594
angles: 90.00 90.00 90.00
Atoms (fractional coordinates):
Sm 0.0000 0.0000 0.0000
Er 0.0000 0.0000 0.5000
Pt 0.5000 0.5000 0.2648
Pt 0.5000 0.5000 0.7352

Values from the calculation:
magnetization = 0.000 μB/cell



model ii is favored, and the nearest alternative lies 5 meV per atom above it.



Model i:
A geometry-optimized SmErPt2 structure. Source: Alexandria via LeMat-Bulk, functional PBE.

abc: 7.0883 7.0883 7.0883
angles: 33.56 33.56 33.56
Atoms (fractional coordinates):
Sm 0.0000 0.0000 0.0000
Er 0.5000 0.5000 0.5000
Pt 0.2462 0.2462 0.2462
Pt 0.7538 0.7538 0.7538

Values from the calculation:
magnetization = 0.000 μB/cell



Model ii:
A geometry-optimized SmErPt2 structure. Source: Alexandria via LeMat-Bulk, functional PBE.

abc: 3.8016 4.4924 5.6454
angles: 90.00 109.76 90.00
Atoms (fractional coordinates):
Sm 0.0000 0.0000 0.0000
Er 0.7244 0.5000 0.4490
Pt 0.2725 0.0000 0.5451
Pt 0.4482 0.5000 0.8967

Values from the calculation:
magnetization = 0.000 μB/cell



model ii is favored, and the nearest alternative lies 130 meV per atom above it.



Model i:
A geometry-optimized SmErZnPt structure. Source: Alexandria via LeMat-Bulk, functional PBE.

abc: 3.5728 3.5728 7.0069
angles: 90.00 90.00 90.00
Atoms (fractional coordinates):
Sm 0.0000 0.0000 0.0000
Er 0.0000 0.0000 0.4847
Zn 0.5000 0.5000 0.7292
Pt 0.5000 0.5000 0.2624

Values from the calculation:
magnetization = 0.000 μB/cell



Model ii:
A geometry-optimized SmErZnPt structure. Source: Alexandria via LeMat-Bulk, functional PBE.

abc: 5.0159 5.0159 5.0159
angles: 60.00 60.00 60.00
Atoms (fractional coordinates):
Sm 0.0000 0.0000 0.0000
Er 0.5000 0.5000 0.5000
Zn 0.7500 0.7500 0.7500
Pt 0.2500 0.2500 0.2500

Values from the calculation:
magnetization = 0.000 μB/cell



model i is favored, and the nearest alternative lies 22 meV per atom above it.



Model i:
A geometry-optimized SrErPt2 structure. Source: Alexandria via LeMat-Bulk, functional PBE.

abc: 3.5251 3.5251 7.3555
angles: 90.00 90.00 90.00
Atoms (fractional coordinates):
Sr 0.0000 0.0000 0.0000
Er 0.0000 0.0000 0.5000
Pt 0.5000 0.5000 0.2892
Pt 0.5000 0.5000 0.7108

Values from the calculation:
magnetization = 0.000 μB/cell



Model ii:
A geometry-optimized SrErPt2 structure. Source: Alexandria via LeMat-Bulk, functional PBE.

abc: 5.8329 5.8329 5.8329
angles: 47.84 47.84 47.84
Atoms (fractional coordinates):
Sr 0.0000 0.0000 0.0000
Er 0.5000 0.5000 0.5000
Pt 0.2163 0.2163 0.2163
Pt 0.7837 0.7837 0.7837

Values from the calculation:
magnetization = 0.000 μB/cell



model i is favored, and the nearest alternative lies 107 meV per atom above it.



Model i:
A geometry-optimized TbErPt2 structure. Source: Alexandria via LeMat-Bulk, functional PBE.

abc: 4.4548 5.6020 5.6020
angles: 39.32 90.00 90.00
Atoms (fractional coordinates):
Tb 0.0000 0.0000 0.0000
Er 0.5000 0.7236 0.7236
Pt 0.0000 0.2730 0.2730
Pt 0.5000 0.4492 0.4492

Values from the calculation:
magnetization = 0.000 μB/cell



Model ii:
A geometry-optimized TbErPt2 structure. Source: Alexandria via LeMat-Bulk, functional PBE.

abc: 4.9537 4.9537 3.4533
angles: 90.00 90.00 90.00
Atoms (fractional coordinates):
Tb 0.0000 0.0000 0.0000
Er 0.5000 0.5000 0.0000
Pt 0.0000 0.5000 0.5000
Pt 0.5000 0.0000 0.5000

Values from the calculation:
magnetization = 0.000 μB/cell



model i is favored, and the nearest alternative lies 57 meV per atom above it.



Model i:
A geometry-optimized TbErPt2 structure. Source: Alexandria via LeMat-Bulk, functional PBE.

abc: 7.0448 7.0448 7.0448
angles: 33.45 33.45 33.45
Atoms (fractional coordinates):
Tb 0.0000 0.0000 0.0000
Er 0.5000 0.5000 0.5000
Pt 0.2483 0.2483 0.2483
Pt 0.7517 0.7517 0.7517

Values from the calculation:
magnetization = 0.000 μB/cell



Model ii:
A geometry-optimized TbErPt2 structure. Source: Alexandria via LeMat-Bulk, functional PBE.

abc: 4.9345 4.9345 4.9345
angles: 60.00 60.00 60.00
Atoms (fractional coordinates):
Tb 0.0000 0.0000 0.0000
Er 0.5000 0.5000 0.5000
Pt 0.2500 0.2500 0.2500
Pt 0.7500 0.7500 0.7500

Values from the calculation:
magnetization = 0.000 μB/cell



model ii is favored, and the nearest alternative lies 92 meV per atom above it.